Record 1
Ho6BiSb3: relaxed, PBE-GGA.

Size of the total moment: 1.5 Bohr magnetons per cell
Calculated volume: 30.94 Å³/atom
ΔE_f (raw): -0.71 eV/atom
VASP energy: -5.09 eV/atom
ρ: 8.39 Mg/m³

The structure in POSCAR format:
```
Ho6BiSb3
1.0
7.585 0.000 0.000
0.000 9.206 -0.241
0.000 -2.290 8.920
Ho Bi Sb
12 2 6
direct
0.151 0.722 0.618 Ho
0.651 0.618 0.722 Ho
0.257 0.477 0.924 Ho
0.757 0.924 0.477 Ho
0.251 0.998 0.002 Ho
0.617 0.248 0.752 Ho
0.117 0.752 0.248 Ho
0.751 0.002 0.998 Ho
0.257 0.076 0.523 Ho
0.757 0.523 0.076 Ho
0.151 0.382 0.278 Ho
0.651 0.278 0.382 Ho
0.999 0.175 0.825 Bi
0.499 0.825 0.175 Bi
0.482 0.914 0.718 Sb
0.982 0.718 0.914 Sb
0.338 0.416 0.584 Sb
0.838 0.584 0.416 Sb
0.982 0.086 0.282 Sb
0.482 0.282 0.086 Sb
```

---

Record 2
K2NiHgCl6: relaxed, PBE-GGA.

Size of the total moment: 1.5 Bohr magnetons per cell
Calculated volume: 25.85 Å³/atom
ΔE_f (raw): -1.08 eV/atom
VASP energy: -3.02 eV/atom
ρ: 3.53 Mg/m³

The structure in POSCAR format:
```
K2NiHgCl6
1.0
7.139 0.000 0.000
0.000 7.140 0.000
0.000 0.000 10.144
K Ni Hg Cl
4 2 2 12
direct
0.500 0.750 0.250 K
0.000 0.250 0.750 K
0.500 0.750 0.750 K
0.000 0.250 0.250 K
0.500 0.250 0.500 Ni
0.000 0.750 0.000 Ni
0.000 0.750 0.500 Hg
0.500 0.250 0.000 Hg
0.500 0.250 0.269 Cl
0.500 0.250 0.731 Cl
0.000 0.750 0.231 Cl
0.000 0.750 0.769 Cl
0.266 0.016 0.500 Cl
0.734 0.016 0.500 Cl
0.266 0.484 0.500 Cl
0.734 0.484 0.500 Cl
0.766 0.516 0.000 Cl
0.234 0.516 0.000 Cl
0.234 0.984 0.000 Cl
0.766 0.984 0.000 Cl
```

---

Record 3
RbAsBr4: relaxed, PBE-GGA.

Size of the total moment: 0.0 Bohr magnetons per cell
Calculated volume: 41.34 Å³/atom
ΔE_f (raw): -0.86 eV/atom
VASP energy: -2.91 eV/atom
Polymorph energy (0 for the lowest one): 0.11 kcal/mol of atoms
ρ: 3.21 Mg/m³

The structure in POSCAR format:
```
RbAsBr4
1.0
9.781 -1.340 0.000
-4.073 9.823 0.000
0.000 0.000 10.949
Rb As Br
4 4 16
direct
0.344 0.231 0.885 Rb
0.156 0.269 0.385 Rb
0.844 0.731 0.615 Rb
0.656 0.769 0.115 Rb
0.875 0.243 0.780 As
0.625 0.257 0.280 As
0.375 0.743 0.720 As
0.125 0.757 0.220 As
0.659 0.028 0.876 Br
0.027 0.105 0.685 Br
0.759 0.103 0.296 Br
0.462 0.164 0.456 Br
0.741 0.397 0.796 Br
0.038 0.336 0.956 Br
0.473 0.395 0.185 Br
0.841 0.472 0.376 Br
0.159 0.528 0.624 Br
0.527 0.605 0.815 Br
0.962 0.664 0.044 Br
0.259 0.603 0.204 Br
0.538 0.836 0.544 Br
0.241 0.897 0.704 Br
0.973 0.895 0.315 Br
0.341 0.972 0.124 Br
```

---

Record 4
K2PrBr6: relaxed, PBE-GGA.

Size of the total moment: 1.1 Bohr magnetons per cell
Calculated volume: 33.07 Å³/atom
ΔE_f (raw): -1.54 eV/atom
VASP energy: -3.43 eV/atom
ρ: 3.90 Mg/m³

The structure in POSCAR format:
```
K2PrBr6
1.0
4.636 0.000 0.000
0.000 8.579 0.000
0.000 -4.289 7.484
K Pr Br
2 1 6
direct
0.000 0.331 0.665 K
0.000 0.666 0.335 K
0.500 0.002 0.000 Pr
0.500 0.641 0.000 Br
0.500 0.360 0.361 Br
0.500 0.999 0.639 Br
0.000 0.243 0.000 Br
0.000 0.759 0.760 Br
0.000 0.999 0.240 Br
```

---

Copy entry 2 word for word.
K2NiHgCl6: relaxed, PBE-GGA.

Size of the total moment: 1.5 Bohr magnetons per cell
Calculated volume: 25.85 Å³/atom
ΔE_f (raw): -1.08 eV/atom
VASP energy: -3.02 eV/atom
ρ: 3.53 Mg/m³

The structure in POSCAR format:
```
K2NiHgCl6
1.0
7.139 0.000 0.000
0.000 7.140 0.000
0.000 0.000 10.144
K Ni Hg Cl
4 2 2 12
direct
0.500 0.750 0.250 K
0.000 0.250 0.750 K
0.500 0.750 0.750 K
0.000 0.250 0.250 K
0.500 0.250 0.500 Ni
0.000 0.750 0.000 Ni
0.000 0.750 0.500 Hg
0.500 0.250 0.000 Hg
0.500 0.250 0.269 Cl
0.500 0.250 0.731 Cl
0.000 0.750 0.231 Cl
0.000 0.750 0.769 Cl
0.266 0.016 0.500 Cl
0.734 0.016 0.500 Cl
0.266 0.484 0.500 Cl
0.734 0.484 0.500 Cl
0.766 0.516 0.000 Cl
0.234 0.516 0.000 Cl
0.234 0.984 0.000 Cl
0.766 0.984 0.000 Cl
```